The following is a DFT calculation (PBE+U) of a relaxed Mg6ZnCrO8 crystal.

```
16
Lattice="4.339 0.000 0.000 0.000 4.339 0.000 0.000 0.000 8.456" Properties=species:S:1:pos:R:3 pbc="T T T"
Mg 0.000 0.000 0.000
Mg 0.000 2.169 2.121
Mg 0.000 2.169 6.335
Mg 2.169 0.000 2.121
Mg 2.169 0.000 6.335
Mg 2.169 2.169 0.000
Zn 0.000 0.000 4.228
Cr 2.169 2.169 4.228
O 0.000 0.000 2.078
O 0.000 0.000 6.378
O 0.000 2.169 0.000
O 0.000 2.169 4.228
O 2.169 0.000 0.000
O 2.169 0.000 4.228
O 2.169 2.169 2.114
O 2.169 2.169 6.342
```

ρ: 4.1 g/cm³
E: -5.98 eV/atom
N(E_F): 0.70 states/eV/cell